(1)
Below is Dy4TlPb5 after structural relaxation, with properties calculated at the PBE-GGA level.

The space group is P4/mmm (No. 123) and the conventional cell measures 4.106, 4.106 and 17.105 Å, with angles of 90.00, 90.00 and 90.00 degrees. The distinct sites, in fractional coordinates, are Dy at (0.000, 0.000, 0.099), Dy at (0.000, 0.000, 0.303), Tl at (0.000, 0.000, 0.500), Pb at (0.500, 0.500, 0.000), Pb at (0.500, 0.500, 0.200) and Pb at (0.500, 0.500, 0.395).

As for the calculated density: 10.9 g cm⁻³. For the uncorrected energy, the calculation gives -42.4 eV per formula unit. The calculation puts the formation energy at -309.8 meV/atom.

(2)
Below is Dy5Tl2Pb after structural relaxation, with properties calculated at the PBE-GGA level.

The space group is I4/mcm (No. 140) and the conventional cell measures 8.397, 8.397 and 13.204 Å, with angles of 90.00, 90.00 and 90.00 degrees. The distinct sites, in fractional coordinates, are Dy at (0.000, 0.000, 0.000), Dy at (0.153, 0.347, 0.151), Tl at (0.146, 0.354, 0.500) and Pb at (0.000, 0.000, 0.250).

As for the calculated density: 10.2 g cm⁻³. For the uncorrected energy, the calculation gives -34.3 eV per formula unit. The calculation puts the formation energy at -356.6 meV/atom.

(3)
Below is DyTl2Pb5 after structural relaxation, with properties calculated at the PBE-GGA level.

The space group is I4/mmm (No. 139) and the conventional cell measures 8.020, 8.020 and 7.505 Å, with angles of 90.00, 90.00 and 90.00 degrees. The distinct sites, in fractional coordinates, are Dy at (0.000, 0.000, 0.000), Tl at (0.000, 0.500, 0.000), Pb at (0.000, 0.000, 0.500) and Pb at (0.250, 0.250, 0.250).

As for the calculated density: 11.1 g cm⁻³. For the uncorrected energy, the calculation gives -28.6 eV per formula unit. The calculation puts the formation energy at -86.1 meV/atom.

(4)
Below is DyTlPb after structural relaxation, with properties calculated at the PBE-GGA level.

The space group is Cmcm (No. 63) and the conventional cell measures 4.629, 16.448 and 4.462 Å, with angles of 90.00, 90.00 and 90.00 degrees. The distinct sites, in fractional coordinates, are Dy at (0.000, 0.090, 0.250), Tl at (0.000, 0.255, 0.750) and Pb at (0.000, 0.427, 0.250).

As for the calculated density: 11.2 g cm⁻³. For the uncorrected energy, the calculation gives -11.6 eV per formula unit. The calculation puts the formation energy at -304.0 meV/atom.

(5)
Below is Dy5Tl4Pb after structural relaxation, with properties calculated at the PBE-GGA level.

The space group is P4/mmm (No. 123) and the conventional cell measures 3.640, 3.640 and 20.663 Å, with angles of 90.00, 90.00 and 90.00 degrees. The distinct sites, in fractional coordinates, are Dy at (0.000, 0.000, 0.000), Dy at (0.000, 0.000, 0.198), Dy at (0.000, 0.000, 0.398), Tl at (0.500, 0.500, 0.099), Tl at (0.500, 0.500, 0.297) and Pb at (0.500, 0.500, 0.500).

As for the calculated density: 11.1 g cm⁻³. For the uncorrected energy, the calculation gives -39.7 eV per formula unit. The calculation puts the formation energy at -355.3 meV/atom.

(6)
Below is Dy2TlPb after structural relaxation, with properties calculated at the PBE-GGA level.

The space group is P2/c (No. 13) and the conventional cell measures 6.337, 6.340 and 11.937 Å, with angles of 90.00, 104.85 and 90.00 degrees. The distinct sites, in fractional coordinates, are Dy at (0.183, 0.129, 0.135), Dy at (0.306, 0.376, 0.869), Tl at (0.337, 0.122, 0.405) and Pb at (0.179, 0.368, 0.596).

As for the calculated density: 10.6 g cm⁻³. For the uncorrected energy, the calculation gives -16.9 eV per formula unit. The calculation puts the formation energy at -402.2 meV/atom.

(7)
Below is Dy2Tl2Pb after structural relaxation, with properties calculated at the PBE-GGA level.

The space group is P4/mbm (No. 127) and the conventional cell measures 8.805, 8.805 and 3.716 Å, with angles of 90.00, 90.00 and 90.00 degrees. The distinct sites, in fractional coordinates, are Dy at (0.176, 0.324, 0.000), Tl at (0.125, 0.625, 0.500) and Pb at (0.000, 0.000, 0.500).

As for the calculated density: 10.8 g cm⁻³. For the uncorrected energy, the calculation gives -19.0 eV per formula unit. The calculation puts the formation energy at -264.3 meV/atom.

(8)
Below is Dy4TlPb3 after structural relaxation, with properties calculated at the PBE-GGA level.

The space group is Pmm2 (No. 25) and the conventional cell measures 3.673, 5.234 and 12.143 Å, with angles of 90.00, 90.00 and 90.00 degrees. The distinct sites, in fractional coordinates, are Dy at (0.000, 0.000, 0.000), Dy at (0.000, 0.500, 0.259), Dy at (0.500, 0.000, 0.497), Dy at (0.500, 0.500, 0.759), Tl at (0.000, 0.000, 0.740), Pb at (0.000, 0.500, 0.522), Pb at (0.500, 0.000, 0.240) and Pb at (0.500, 0.500, 0.017).

As for the calculated density: 10.5 g cm⁻³. For the uncorrected energy, the calculation gives -35.0 eV per formula unit. The calculation puts the formation energy at -393.1 meV/atom.